! MnPtSe2O PBE+U optimized geometry; values from VASP
&SYSTEM
  ibrav = 0, nat = 5, ntyp = 4
/
ATOMIC_SPECIES
O 16.00 O.upf
Mn 54.94 Mn.upf
Se 78.96 Se.upf
Pt 195.08 Pt.upf
CELL_PARAMETERS angstrom
5.1567 0.0000 0.0000
0.0000 3.7790 0.0000
0.0000 0.0000 5.1567
ATOMIC_POSITIONS crystal
O 0.0000 0.5000 0.0000
Mn 0.5000 0.5000 0.5000
Se 0.0000 0.0000 0.5000
Se 0.5000 0.0000 0.0000
Pt 0.0000 0.0000 0.0000
! **Uncorrected energy**: -25.43 eV per cell